Sm2DyZr | PBE | relaxed

Results
As for the space group: No. 160. For the offset from the most stable computed form, the calculation gives 0.000 eV per atom. The value obtained for the density of states at the Fermi level is 1.505 states/eV per atom. The total energy is -22.16 eV/cell. The calculation puts the total magnetization at 0.00 μB/cell. As for the energy of formation: 10.38 kJ per mole of atoms.

a = 11.5152 Å, b = 11.5152 Å, c = 11.5152 Å
α = 17.44°, β = 17.44°, γ = 17.44°
Closest atoms and distances in Å follow each position.
Atoms (fractional coordinates):
Sm1 0.0000 0.0000 0.0000  3 Zr 3.35, 6 Sm 3.49, 3 Dy 3.59
Sm2 0.1758 0.1758 0.1758  3 Zr 3.36, 6 Sm 3.49, 3 Dy 3.62
Dy1 0.4207 0.4207 0.4207  6 Dy 3.49, 6 Sm 3.59-3.62
Zr1 0.5881 0.5881 0.5881  6 Sm 3.35-3.36, 6 Zr 3.49


KAlCo2As | PBE | relaxed

Results
As for the space group: No. 123. The value obtained for the density of states at the Fermi level is 1.160 states/eV per atom. The total energy is -18.14 eV/cell. The calculation puts the total magnetization at 2.93 μB/cell. As for the energy of formation: 107.39 kJ per mole of atoms.

a = 4.5401 Å, b = 4.5401 Å, c = 5.4602 Å
α = 90.00°, β = 90.00°, γ = 90.00°
Closest atoms and distances in Å follow each position.
Atoms (fractional coordinates):
K1 0.0000 0.0000 0.0000  2 Al 2.73
Al1 0.0000 0.0000 0.5000  4 Co 2.27
Co1 0.0000 0.5000 0.5000  2 Al 2.27
Co2 0.5000 0.0000 0.5000  2 Al 2.27
As1 0.5000 0.5000 0.0000  4 K 3.21, 8 Co 3.55


Er5TaN6 | PBE | relaxed

Results
As for the space group: No. 12. The value obtained for the density of states at the Fermi level is 0.185 states/eV per atom. The total energy is -104.82 eV/cell. The calculation puts the total magnetization at 0.00 μB/cell. For the energy relative to the elements, uncorrected, the calculation gives -1683 meV/atom.

a = 5.8109 Å, b = 5.8109 Å, c = 5.8069 Å
α = 99.65°, β = 99.65°, γ = 119.91°
Closest atoms and distances in Å follow each position.
Atoms (fractional coordinates):
Er1 0.0000 0.0000 0.0000  6 N 2.37-2.50
Er2 0.1667 0.8333 0.5000  6 N 2.38-2.39
Er3 0.3335 0.6665 0.0000  6 N 2.36-2.51
Er4 0.6665 0.3335 0.0000  6 N 2.36-2.51
Er5 0.8333 0.1667 0.5000  6 N 2.38-2.39
Ta1 0.5000 0.5000 0.5000  6 N 2.23-2.25
N1 0.1079 0.4210 0.2640  1 Ta 2.23, 4 Er 2.37-2.38
N2 0.2656 0.2656 0.7390  1 Ta 2.25, 5 Er 2.36-2.50
N3 0.4210 0.1079 0.2640  1 Ta 2.23, 4 Er 2.37-2.38
N4 0.5790 0.8921 0.7360  1 Ta 2.23, 4 Er 2.37-2.38
N5 0.7344 0.7344 0.2610  1 Ta 2.25, 5 Er 2.36-2.50
N6 0.8921 0.5790 0.7360  1 Ta 2.23, 4 Er 2.37-2.38


Al2SbBr | PBE | relaxed

Results
As for the space group: No. 10. For the offset from the most stable computed form, the calculation gives 0.344 eV per atom. The value obtained for the density of states at the Fermi level is 0.251 states/eV per atom. The total energy is -12.43 eV/cell. The calculation puts the total magnetization at 0.00 μB/cell. For the energy relative to the elements, uncorrected, the calculation gives 213 meV/atom.

a = 3.3687 Å, b = 4.9611 Å, c = 5.7332 Å
α = 90.00°, β = 102.14°, γ = 90.00°
Closest atoms and distances in Å follow each position.
Atoms (fractional coordinates):
Al1 0.2078 0.0000 0.2509  2 Al 2.92-3.11, 2 Sb 3.02, 2 Br 3.13
Al2 0.7922 0.0000 0.7491  2 Al 2.92-3.11, 2 Sb 3.02, 2 Br 3.13
Sb1 0.0000 0.5000 0.5000  2 Br 3.00, 4 Al 3.02
Br1 0.5000 0.5000 0.0000  2 Sb 3.00, 4 Al 3.13


Nb2PS2 | PBE | relaxed

Results
As for the space group: No. 139. For the offset from the most stable computed form, the calculation gives 0.000 eV per atom. The value obtained for the density of states at the Fermi level is 0.720 states/eV per atom. The total energy is -35.51 eV/cell. The calculation puts the total magnetization at 0.00 μB/cell. For the energy relative to the elements, uncorrected, the calculation gives -342 meV/atom.

a = 5.3008 Å, b = 5.3008 Å, c = 5.3008 Å
α = 129.69°, β = 129.69°, γ = 73.90°
Closest atoms and distances in Å follow each position.
Atoms (fractional coordinates):
Nb1 0.2500 0.7500 0.5000  4 S 2.44
Nb2 0.7500 0.2500 0.5000  4 S 2.44
P1 0.0000 0.0000 0.0000  10 S 3.05-3.40, 8 Nb 3.09
S1 0.3598 0.3598 0.0000  1 S 2.38, 4 Nb 2.44
S2 0.6402 0.6402 0.0000  1 S 2.38, 4 Nb 2.44


ErGa4NiPt2 | PBE | relaxed

Results
As for the space group: No. 166. The value obtained for the density of states at the Fermi level is 0.418 states/eV per atom. The total energy is -39.61 eV/cell. The calculation puts the total magnetization at 0.00 μB/cell. As for the energy of formation: -61.28 kJ per mole of atoms.

a = 8.8035 Å, b = 8.8035 Å, c = 8.8035 Å
α = 27.97°, β = 27.97°, γ = 27.97°
Closest atoms and distances in Å follow each position.
Atoms (fractional coordinates):
Er1 0.0000 0.0000 0.0000  6 Ga 2.96
Ga1 0.1352 0.1352 0.1352  3 Ni 2.58, 4 Pt 2.70-2.71
Ga2 0.3983 0.3983 0.3983  3 Pt 2.55, 1 Ni 2.58
Ga3 0.6017 0.6017 0.6017  3 Pt 2.55, 1 Ni 2.58
Ga4 0.8648 0.8648 0.8648  3 Ni 2.58, 4 Pt 2.70-2.71
Ni1 0.5000 0.5000 0.5000  8 Ga 2.58
Pt1 0.2422 0.2422 0.2422  7 Ga 2.55-2.71
Pt2 0.7578 0.7578 0.7578  7 Ga 2.55-2.71


SrHf2Zr | PBE | relaxed

Results
As for the space group: No. 122. For the offset from the most stable computed form, the calculation gives 0.275 eV per atom. The value obtained for the density of states at the Fermi level is 1.542 states/eV per atom. The total energy is -52.66 eV/cell. The calculation puts the total magnetization at 0.00 μB/cell. As for the energy of formation: 91.81 kJ per mole of atoms.

a = 11.2769 Å, b = 11.2769 Å, c = 11.2769 Å
α = 157.07°, β = 157.07°, γ = 32.66°
Closest atoms and distances in Å follow each position.
Atoms (fractional coordinates):
Sr1 0.0000 0.0000 0.0000  4 Zr 3.17, 4 Hf 3.18
Sr2 0.7500 0.2500 0.5000  4 Zr 3.17, 4 Hf 3.18
Hf1 0.1490 0.6250 0.0240  4 Hf 3.02-3.33, 2 Zr 3.10, 2 Sr 3.18
Hf2 0.3750 0.3990 0.5240  4 Hf 3.02-3.33, 2 Zr 3.10, 2 Sr 3.18
Hf3 0.6010 0.1250 0.9760  4 Hf 3.02-3.33, 2 Zr 3.10, 2 Sr 3.18
Hf4 0.8750 0.8510 0.4760  4 Hf 3.02-3.33, 2 Zr 3.10, 2 Sr 3.18
Zr1 0.2500 0.7500 0.5000  4 Hf 3.10, 4 Sr 3.17
Zr2 0.5000 0.5000 0.0000  4 Hf 3.10, 4 Sr 3.17


CaPbW | PBE | relaxed

Results
As for the space group: No. 187. For the offset from the most stable computed form, the calculation gives 0.098 eV per atom. The value obtained for the density of states at the Fermi level is 1.197 states/eV per atom. The total energy is -16.34 eV/cell. The calculation puts the total magnetization at 0.86 μB/cell. As for the energy of formation: 74.82 kJ per mole of atoms.

a = 5.1023 Å, b = 5.1023 Å, c = 3.0980 Å
α = 90.00°, β = 90.00°, γ = 120.00°
Closest atoms and distances in Å follow each position.
Atoms (fractional coordinates):
Ca1 0.0000 0.0000 0.0000  2 Ca 3.10, 6 Pb 3.33, 6 W 3.33
Pb1 0.6667 0.3333 0.5000  3 W 2.95, 2 Pb 3.10
W1 0.3333 0.6667 0.5000  3 Pb 2.95, 2 W 3.10


What did the second record say?
KAlCo2As | PBE | relaxed

Results
As for the space group: No. 123. The value obtained for the density of states at the Fermi level is 1.160 states/eV per atom. The total energy is -18.14 eV/cell. The calculation puts the total magnetization at 2.93 μB/cell. As for the energy of formation: 107.39 kJ per mole of atoms.

a = 4.5401 Å, b = 4.5401 Å, c = 5.4602 Å
α = 90.00°, β = 90.00°, γ = 90.00°
Closest atoms and distances in Å follow each position.
Atoms (fractional coordinates):
K1 0.0000 0.0000 0.0000  2 Al 2.73
Al1 0.0000 0.0000 0.5000  4 Co 2.27
Co1 0.0000 0.5000 0.5000  2 Al 2.27
Co2 0.5000 0.0000 0.5000  2 Al 2.27
As1 0.5000 0.5000 0.0000  4 K 3.21, 8 Co 3.55


Q: Which of these has the lowest density of states at the Fermi level?
A: Er5TaN6


Q: The lowest density of states at the Fermi level belongs to which entry?
A: Er5TaN6